# 1
# Na2NdAs2O6 | Alexandria via LeMat-Bulk | PBE-GGA | optimized geometry
# - Fermi-level density of states (states/eV/atom) = 0.401
# - magnetization (Bohr magnetons per cell) = 1.06
# - ΔE_f (raw) (eV/atom) = -1.7949
data_Na2NdAs2O6
_cell_length_a 5.8949
_cell_length_b 5.8949
_cell_length_c 5.9690
_cell_angle_alpha 90.00
_cell_angle_beta 90.00
_cell_angle_gamma 120.00
_space_group_name_H-M_alt 'P -3'
_space_group_IT_number 147
loop_
_space_group_symop_operation_xyz
'x,y,z'
'-x,-y,-z'
'-y,x-y,z'
'y,-x+y,-z'
'-x+y,-x,z'
'x-y,x,-z'
loop_
_atom_site_label
_atom_site_fract_x
_atom_site_fract_y
_atom_site_fract_z
_atom_site_occupancy
Na1 0.3333 0.6667 0.4010 1
Nd1 0.0000 0.0000 0.0000 1
As1 0.3333 0.6667 0.8945 1
O1 0.0902 0.7187 0.7663 1



# 2
# Na3Nd3AsO8 | Alexandria via LeMat-Bulk | PBE-GGA | optimized geometry
# - Fermi-level density of states (states/eV/atom) = 0.086
# - magnetization (Bohr magnetons per cell) = 0.00
# - ΔE_f (raw) (eV/atom) = -2.2777
data_Na3Nd3AsO8
_cell_length_a 6.9541
_cell_length_b 6.9541
_cell_length_c 16.7833
_cell_angle_alpha 90.00
_cell_angle_beta 90.00
_cell_angle_gamma 120.00
_space_group_name_H-M_alt 'R -3 m'
_space_group_IT_number 166
_space_group_name_Hall '-R 3 2"'
loop_
_atom_site_label
_atom_site_fract_x
_atom_site_fract_y
_atom_site_fract_z
_atom_site_occupancy
Na1 0.0000 0.5000 0.0000 1
Nd1 0.0000 0.5000 0.5000 1
As1 0.0000 0.0000 0.5000 1
O1 0.0000 0.0000 0.2400 1
O2 0.0485 0.5243 0.2320 1



# 3
# Na4Nd3AsO8 | Alexandria via LeMat-Bulk | PBE-GGA | optimized geometry
# - Fermi-level density of states (states/eV/atom) = 0.000
# - magnetization (Bohr magnetons per cell) = 0.00
# - ΔE_f (raw) (eV/atom) = -2.2226
data_Na4Nd3AsO8
_cell_length_a 7.0055
_cell_length_b 7.0055
_cell_length_c 16.8783
_cell_angle_alpha 90.00
_cell_angle_beta 90.00
_cell_angle_gamma 120.00
_space_group_name_H-M_alt 'R -3 m'
_space_group_IT_number 166
_space_group_name_Hall '-R 3 2"'
loop_
_atom_site_label
_atom_site_fract_x
_atom_site_fract_y
_atom_site_fract_z
_atom_site_occupancy
Na1 0.0000 0.0000 0.0000 1
Na2 0.0000 0.5000 0.0000 1
Nd1 0.0000 0.5000 0.5000 1
As1 0.0000 0.0000 0.5000 1
O1 0.0000 0.0000 0.2395 1
O2 0.0149 0.5075 0.2387 1



# 4
# NaNd2PaAs4 | Alexandria via LeMat-Bulk | PBE-GGA | optimized geometry
# - Fermi-level density of states (states/eV/atom) = 0.343
# - magnetization (Bohr magnetons per cell) = 0.00
# - E_form (meV/atom) = -1070.4
data_NaNd2PaAs4
_cell_length_a 7.261
_cell_length_b 4.254
_cell_length_c 7.280
_cell_angle_alpha 90.00
_cell_angle_beta 108.72
_cell_angle_gamma 90.00
_space_group_name_H-M_alt 'P 1 2/m 1'
_space_group_IT_number 10
loop_
_space_group_symop_operation_xyz
'x,y,z'
'-x,-y,-z'
'-x,y,-z'
'x,-y,z'
loop_
_atom_site_label
_atom_site_fract_x
_atom_site_fract_y
_atom_site_fract_z
_atom_site_occupancy
Na1 0.000 0.000 0.000 1
Nd1 0.000 0.500 0.500 1
Nd2 0.500 0.000 0.500 1
Pa1 0.500 0.500 0.000 1
As1 0.262 0.000 0.763 1
As2 0.267 0.500 0.243 1



# 5
# Na2NdAs3Pt4 | Alexandria via LeMat-Bulk | PBE-GGA | optimized geometry
# - Fermi-level density of states (states/eV/atom) = 0.489
# - magnetization (Bohr magnetons per cell) = 0.00
# - E_form (meV/atom) = -532.0
data_Na2NdAs3Pt4
_cell_length_a 4.358
_cell_length_b 4.358
_cell_length_c 11.139
_cell_angle_alpha 90.00
_cell_angle_beta 90.00
_cell_angle_gamma 90.00
_space_group_name_H-M_alt 'P -4 m 2'
_space_group_IT_number 115
loop_
_space_group_symop_operation_xyz
'x,y,z'
'y,-x,-z'
'-x,-y,z'
'-y,x,-z'
'-x,y,z'
'-y,-x,-z'
'x,-y,z'
'y,x,-z'
loop_
_atom_site_label
_atom_site_fract_x
_atom_site_fract_y
_atom_site_fract_z
_atom_site_occupancy
Na1 0.000 0.500 0.221 1
Nd1 0.000 0.000 0.500 1
As1 0.000 0.500 0.880 1
As2 0.500 0.500 0.500 1
Pt1 0.000 0.000 0.000 1
Pt2 0.000 0.500 0.665 1
Pt3 0.500 0.500 0.000 1



# 6
# Na2NdAsS4 | Alexandria via LeMat-Bulk | PBE-GGA | optimized geometry
# - magnetization (Bohr magnetons per cell) = 0.00
# - ΔE_f (raw) (eV/atom) = -1.1236
data_Na2NdAsS4
_cell_length_a 6.873
_cell_length_b 3.972
_cell_length_c 7.066
_cell_angle_alpha 90.00
_cell_angle_beta 108.98
_cell_angle_gamma 90.00
_space_group_name_H-M_alt 'P 1 2/m 1'
_space_group_IT_number 10
loop_
_space_group_symop_operation_xyz
'x,y,z'
'-x,-y,-z'
'-x,y,-z'
'x,-y,z'
loop_
_atom_site_label
_atom_site_fract_x
_atom_site_fract_y
_atom_site_fract_z
_atom_site_occupancy
Na1 0.000 0.000 0.000 1
Na2 0.500 0.500 0.000 1
Nd1 0.000 0.500 0.500 1
As1 0.500 0.000 0.500 1
S1 0.262 0.000 0.728 1
S2 0.278 0.500 0.280 1



# 7
# NaNi2As | Alexandria via LeMat-Bulk | PBE-GGA | optimized geometry
# - Fermi-level density of states (states/eV/atom) = 1.130
# - magnetization (Bohr magnetons per cell) = 0.00
# - E_form (meV/atom) = 21.3
data_NaNi2As
_cell_length_a 3.769
_cell_length_b 3.769
_cell_length_c 8.897
_cell_angle_alpha 90.00
_cell_angle_beta 90.00
_cell_angle_gamma 90.00
_space_group_name_H-M_alt 'P 4/n m m'
_space_group_IT_number 129
loop_
_space_group_symop_operation_xyz
'x,y,z'
'-x,-y,-z'
'-y+1/2,x,z'
'y+1/2,-x,-z'
'-x+1/2,-y+1/2,z'
'x+1/2,y+1/2,-z'
'y,-x+1/2,z'
'-y,x+1/2,-z'
'x+1/2,-y,-z'
'-x+1/2,y,z'
'-y,-x,-z'
'y,x,z'
'-x,y+1/2,-z'
'x,-y+1/2,z'
'y+1/2,x+1/2,-z'
'-y+1/2,-x+1/2,z'
loop_
_atom_site_label
_atom_site_fract_x
_atom_site_fract_y
_atom_site_fract_z
_atom_site_occupancy
Na1 0.250 0.250 0.221 1
Ni1 0.250 0.250 0.923 1
Ni2 0.250 0.750 0.500 1
As1 0.250 0.250 0.664 1



# 8
# NaNi2As2 | Alexandria via LeMat-Bulk | PBE-GGA | optimized geometry
# - Fermi-level density of states (states/eV/atom) = 0.470
# - magnetization (Bohr magnetons per cell) = 0.00
# - E_form (meV/atom) = -158.9
data_NaNi2As2
_cell_length_a 7.333
_cell_length_b 7.333
_cell_length_c 2.855
_cell_angle_alpha 90.00
_cell_angle_beta 90.00
_cell_angle_gamma 90.00
_space_group_name_H-M_alt 'P 4/m b m'
_space_group_IT_number 127
_space_group_name_Hall '-P 4 2ab'
loop_
_atom_site_label
_atom_site_fract_x
_atom_site_fract_y
_atom_site_fract_z
_atom_site_occupancy
Na1 0.000 0.000 0.000 1
Ni1 0.125 0.375 0.000 1
As1 0.157 0.657 0.500 1



# 9
# NaNi6As2 | Alexandria via LeMat-Bulk | PBE-GGA | optimized geometry
# - Fermi-level density of states (states/eV/atom) = 1.333
# - magnetization (Bohr magnetons per cell) = 1.01
# - E_form (meV/atom) = -164.8
data_NaNi6As2
_cell_length_a 3.652
_cell_length_b 3.652
_cell_length_c 9.753
_cell_angle_alpha 90.00
_cell_angle_beta 90.00
_cell_angle_gamma 90.00
_space_group_name_H-M_alt 'P 4/m m m'
_space_group_IT_number 123
_space_group_name_Hall '-P 4 2'
loop_
_atom_site_label
_atom_site_fract_x
_atom_site_fract_y
_atom_site_fract_z
_atom_site_occupancy
Na1 0.000 0.000 0.000 1
Ni1 0.000 0.000 0.500 1
Ni2 0.000 0.500 0.326 1
Ni3 0.500 0.500 0.500 1
As1 0.500 0.500 0.179 1



# 10
# Na3Ni6As5 | Alexandria via LeMat-Bulk | PBE-GGA | optimized geometry
# - Fermi-level density of states (states/eV/atom) = 0.499
# - magnetization (Bohr magnetons per cell) = 0.00
# - E_form (meV/atom) = -323.6
data_Na3Ni6As5
_cell_length_a 3.884
_cell_length_b 11.993
_cell_length_c 9.709
_cell_angle_alpha 90.00
_cell_angle_beta 90.00
_cell_angle_gamma 90.00
_space_group_name_H-M_alt 'P m m n'
_space_group_IT_number 59
loop_
_space_group_symop_operation_xyz
'x,y,z'
'-x,-y,-z'
'-x+1/2,-y+1/2,z'
'x+1/2,y+1/2,-z'
'x+1/2,-y,-z'
'-x+1/2,y,z'
'-x,y+1/2,-z'
'x,-y+1/2,z'
loop_
_atom_site_label
_atom_site_fract_x
_atom_site_fract_y
_atom_site_fract_z
_atom_site_occupancy
Na1 0.250 0.100 0.248 1
Na2 0.250 0.750 0.254 1
Ni1 0.250 0.053 0.598 1
Ni2 0.250 0.250 0.503 1
Ni3 0.250 0.250 0.970 1
Ni4 0.250 0.577 0.013 1
As1 0.250 0.074 0.847 1
As2 0.250 0.629 0.515 1
As3 0.250 0.750 0.898 1



# 11
# Na3Ni4As4 | Alexandria via LeMat-Bulk | PBE-GGA | optimized geometry
# - Fermi-level density of states (states/eV/atom) = 0.756
# - magnetization (Bohr magnetons per cell) = 0.00
# - E_form (meV/atom) = -359.0
data_Na3Ni4As4
_cell_length_a 7.285
_cell_length_b 7.285
_cell_length_c 7.285
_cell_angle_alpha 90.00
_cell_angle_beta 90.00
_cell_angle_gamma 90.00
_space_group_name_H-M_alt 'I -4 3 m'
_space_group_IT_number 217
_space_group_name_Hall 'I -4 2 3'
loop_
_atom_site_label
_atom_site_fract_x
_atom_site_fract_y
_atom_site_fract_z
_atom_site_occupancy
Na1 0.000 0.000 0.500 1
Ni1 0.133 0.133 0.133 1
As1 0.187 0.187 0.813 1



# 12
# NaNi3As2 | Alexandria via LeMat-Bulk | PBE-GGA | optimized geometry
# - Fermi-level density of states (states/eV/atom) = 0.642
# - magnetization (Bohr magnetons per cell) = 0.00
# - E_form (meV/atom) = -327.2
data_NaNi3As2
_cell_length_a 15.668
_cell_length_b 3.776
_cell_length_c 9.370
_cell_angle_alpha 90.00
_cell_angle_beta 105.85
_cell_angle_gamma 90.00
_space_group_name_H-M_alt 'C 1 2/m 1'
_space_group_IT_number 12
loop_
_space_group_symop_operation_xyz
'x,y,z'
'-x,-y,-z'
'-x,y,-z'
'x,-y,z'
'x+1/2,y+1/2,z'
'-x+1/2,-y+1/2,-z'
'-x+1/2,y+1/2,-z'
'x+1/2,-y+1/2,z'
loop_
_atom_site_label
_atom_site_fract_x
_atom_site_fract_y
_atom_site_fract_z
_atom_site_occupancy
Na1 0.000 0.000 0.000 1
Na2 0.160 0.000 0.709 1
Ni1 0.000 0.500 0.500 1
Ni2 0.044 0.000 0.333 1
Ni3 0.122 0.500 0.208 1
Ni4 0.181 0.500 0.970 1
Ni5 0.214 0.000 0.395 1
As1 0.038 0.500 0.780 1
As2 0.140 0.500 0.464 1
As3 0.196 0.000 0.133 1



# 13
# Na5Ni9As7 | Alexandria via LeMat-Bulk | PBE-GGA | optimized geometry
# - Fermi-level density of states (states/eV/atom) = 0.559
# - magnetization (Bohr magnetons per cell) = 0.00
# - E_form (meV/atom) = -288.5
data_Na5Ni9As7
_cell_length_a 9.6903
_cell_length_b 9.6903
_cell_length_c 3.9759
_cell_angle_alpha 90.00
_cell_angle_beta 90.00
_cell_angle_gamma 120.00
_space_group_name_H-M_alt 'P -6'
_space_group_IT_number 174
loop_
_space_group_symop_operation_xyz
'x,y,z'
'-x+y,-x,-z'
'-y,x-y,z'
'x,y,-z'
'-x+y,-x,z'
'-y,x-y,-z'
loop_
_atom_site_label
_atom_site_fract_x
_atom_site_fract_y
_atom_site_fract_z
_atom_site_occupancy
Na1 0.0000 0.0000 0.0000 1
Na2 0.2184 0.7768 0.0000 1
Na3 0.6667 0.3333 0.5000 1
Ni1 0.0366 0.4929 0.5000 1
Ni2 0.2927 0.2463 0.5000 1
Ni3 0.3816 0.1102 0.0000 1
As1 0.0201 0.2407 0.5000 1
As2 0.3333 0.6667 0.5000 1
As3 0.4667 0.3831 0.0000 1



# 14
# Na2Ni2As | Alexandria via LeMat-Bulk | PBE-GGA | optimized geometry
# - Fermi-level density of states (states/eV/atom) = 0.732
# - magnetization (Bohr magnetons per cell) = 0.00
# - E_form (meV/atom) = -39.0
data_Na2Ni2As
_cell_length_a 6.005
_cell_length_b 6.005
_cell_length_c 4.892
_cell_angle_alpha 90.00
_cell_angle_beta 90.00
_cell_angle_gamma 90.00
_space_group_name_H-M_alt 'P 4/m b m'
_space_group_IT_number 127
_space_group_name_Hall '-P 4 2ab'
loop_
_atom_site_label
_atom_site_fract_x
_atom_site_fract_y
_atom_site_fract_z
_atom_site_occupancy
Na1 0.176 0.324 0.000 1
Ni1 0.145 0.645 0.500 1
As1 0.000 0.000 0.500 1



# 15
# NaNi2As | Alexandria via LeMat-Bulk | PBE-GGA | optimized geometry
# - Fermi-level density of states (states/eV/atom) = 0.501
# - magnetization (Bohr magnetons per cell) = 0.00
# - E_form (meV/atom) = 198.8
data_NaNi2As
_cell_length_a 7.048
_cell_length_b 7.048
_cell_length_c 5.623
_cell_angle_alpha 90.00
_cell_angle_beta 90.00
_cell_angle_gamma 90.00
_space_group_name_H-M_alt 'I -4 2 d'
_space_group_IT_number 122
_space_group_name_Hall 'I -4 2bw'
loop_
_atom_site_label
_atom_site_fract_x
_atom_site_fract_y
_atom_site_fract_z
_atom_site_occupancy
Na1 0.000 0.000 0.000 1
Ni1 0.173 0.250 0.625 1
As1 0.000 0.000 0.500 1



# 16
# Na2Ni12As7 | Alexandria via LeMat-Bulk | PBE-GGA | optimized geometry
# - Fermi-level density of states (states/eV/atom) = 0.492
# - magnetization (Bohr magnetons per cell) = 0.00
# - E_form (meV/atom) = -333.0
data_Na2Ni12As7
_cell_length_a 9.4262
_cell_length_b 9.4262
_cell_length_c 3.7657
_cell_angle_alpha 90.00
_cell_angle_beta 90.00
_cell_angle_gamma 120.00
_space_group_name_H-M_alt 'P -6'
_space_group_IT_number 174
loop_
_space_group_symop_operation_xyz
'x,y,z'
'-x+y,-x,-z'
'-y,x-y,z'
'x,y,-z'
'-x+y,-x,z'
'-y,x-y,-z'
loop_
_atom_site_label
_atom_site_fract_x
_atom_site_fract_y
_atom_site_fract_z
_atom_site_occupancy
Na1 0.0000 0.0000 0.0000 1
Na2 0.3333 0.6667 0.5000 1
Ni1 0.0448 0.2875 0.5000 1
Ni2 0.1022 0.7169 0.0000 1
Ni3 0.3874 0.1770 0.0000 1
Ni4 0.5496 0.4254 0.5000 1
As1 0.0757 0.4563 0.0000 1
As2 0.2580 0.2208 0.5000 1
As3 0.6667 0.3333 0.0000 1



# 17
# Na3NiAs3 | Alexandria via LeMat-Bulk | PBE-GGA | optimized geometry
# - Fermi-level density of states (states/eV/atom) = 0.465
# - magnetization (Bohr magnetons per cell) = 0.00
# - E_form (meV/atom) = -345.2
data_Na3NiAs3
_cell_length_a 10.575
_cell_length_b 4.348
_cell_length_c 13.596
_cell_angle_alpha 90.00
_cell_angle_beta 112.05
_cell_angle_gamma 90.00
_space_group_name_H-M_alt 'C 1 2/m 1'
_space_group_IT_number 12
loop_
_space_group_symop_operation_xyz
'x,y,z'
'-x,-y,-z'
'-x,y,-z'
'x,-y,z'
'x+1/2,y+1/2,z'
'-x+1/2,-y+1/2,-z'
'-x+1/2,y+1/2,-z'
'x+1/2,-y+1/2,z'
loop_
_atom_site_label
_atom_site_fract_x
_atom_site_fract_y
_atom_site_fract_z
_atom_site_occupancy
Na1 0.015 0.000 0.375 1
Na2 0.099 0.000 0.917 1
Na3 0.247 0.500 0.770 1
Ni1 0.245 0.500 0.413 1
As1 0.056 0.500 0.244 1
As2 0.110 0.500 0.079 1
As3 0.139 0.500 0.539 1



# 18
# NaNi4As3 | Alexandria via LeMat-Bulk | PBE-GGA | optimized geometry
# - Fermi-level density of states (states/eV/atom) = 0.601
# - magnetization (Bohr magnetons per cell) = 0.00
# - E_form (meV/atom) = -308.3
data_NaNi4As3
_cell_length_a 3.979
_cell_length_b 3.979
_cell_length_c 7.774
_cell_angle_alpha 90.00
_cell_angle_beta 90.00
_cell_angle_gamma 90.00
_space_group_name_H-M_alt 'P 4/m m m'
_space_group_IT_number 123
_space_group_name_Hall '-P 4 2'
loop_
_atom_site_label
_atom_site_fract_x
_atom_site_fract_y
_atom_site_fract_z
_atom_site_occupancy
Na1 0.000 0.000 0.000 1
Ni1 0.000 0.500 0.329 1
As1 0.000 0.000 0.500 1
As2 0.500 0.500 0.169 1



# 19
# Na3NiAs2 | Alexandria via LeMat-Bulk | PBE-GGA | optimized geometry
# - Fermi-level density of states (states/eV/atom) = 0.270
# - magnetization (Bohr magnetons per cell) = 0.00
# - E_form (meV/atom) = -277.7
data_Na3NiAs2
_cell_length_a 8.537
_cell_length_b 10.032
_cell_length_c 6.293
_cell_angle_alpha 90.00
_cell_angle_beta 90.00
_cell_angle_gamma 90.00
_space_group_name_H-M_alt 'C m c m'
_space_group_IT_number 63
_space_group_name_Hall '-C 2c 2'
loop_
_atom_site_label
_atom_site_fract_x
_atom_site_fract_y
_atom_site_fract_z
_atom_site_occupancy
Na1 0.000 0.076 0.250 1
Na2 0.195 0.242 0.750 1
Ni1 0.000 0.492 0.250 1
As1 0.209 0.500 0.000 1



# 20
# NaNi3As2 | Alexandria via LeMat-Bulk | PBE-GGA | optimized geometry
# - Fermi-level density of states (states/eV/atom) = 0.554
# - magnetization (Bohr magnetons per cell) = 0.00
# - E_form (meV/atom) = -319.6
data_NaNi3As2
_cell_length_a 14.799
_cell_length_b 3.758
_cell_length_c 7.430
_cell_angle_alpha 90.00
_cell_angle_beta 112.85
_cell_angle_gamma 90.00
_space_group_name_H-M_alt 'C 1 2/m 1'
_space_group_IT_number 12
loop_
_space_group_symop_operation_xyz
'x,y,z'
'-x,-y,-z'
'-x,y,-z'
'x,-y,z'
'x+1/2,y+1/2,z'
'-x+1/2,-y+1/2,-z'
'-x+1/2,y+1/2,-z'
'x+1/2,-y+1/2,z'
loop_
_atom_site_label
_atom_site_fract_x
_atom_site_fract_y
_atom_site_fract_z
_atom_site_occupancy
Na1 0.154 0.000 0.056 1
Ni1 0.046 0.000 0.384 1
Ni2 0.084 0.500 0.652 1
Ni3 0.183 0.500 0.443 1
As1 0.024 0.500 0.191 1
As2 0.189 0.000 0.671 1